Entry 1:
# Pm2MgGe3Ir4 | Alexandria via LeMat-Bulk | GGA-PBE | relaxed
data_Pm2MgGe3Ir4
_chemical_formula_sum 'Pm2 Mg1 Ge3 Ir4'
_space_group_name_H-M_alt 'P 1'
_space_group_IT_number 1
_cell_length_a 4.1762
_cell_length_b 4.1762
_cell_length_c 10.7656
_cell_angle_alpha 90.00
_cell_angle_beta 90.00
_cell_angle_gamma 90.00
loop_
_space_group_symop_operation_xyz
'x,y,z'
loop_
_atom_site_label
_atom_site_type_symbol
_atom_site_fract_x
_atom_site_fract_y
_atom_site_fract_z
_atom_site_occupancy
Pm1 Pm 0.0000 0.5000 0.2430 1
Pm2 Pm 0.5000 0.0000 0.7570 1
Mg1 Mg 0.0000 0.0000 0.5000 1
Ge1 Ge 0.0000 0.5000 0.8727 1
Ge2 Ge 0.5000 0.0000 0.1273 1
Ge3 Ge 0.5000 0.5000 0.5000 1
Ir1 Ir 0.0000 0.0000 0.0000 1
Ir2 Ir 0.0000 0.5000 0.6442 1
Ir3 Ir 0.5000 0.0000 0.3558 1
Ir4 Ir 0.5000 0.5000 0.0000 1
# **ΔH_f (0 K)**: -0.73 eV per atom

=====

Entry 2:
# Pm2MgGe4Ir3 | Alexandria via LeMat-Bulk | GGA-PBE | relaxed
data_Pm2MgGe4Ir3
_chemical_formula_sum 'Pm2 Mg1 Ge4 Ir3'
_space_group_name_H-M_alt 'P 1'
_space_group_IT_number 1
_cell_length_a 4.2859
_cell_length_b 4.2859
_cell_length_c 10.4579
_cell_angle_alpha 90.00
_cell_angle_beta 90.00
_cell_angle_gamma 90.00
loop_
_space_group_symop_operation_xyz
'x,y,z'
loop_
_atom_site_label
_atom_site_type_symbol
_atom_site_fract_x
_atom_site_fract_y
_atom_site_fract_z
_atom_site_occupancy
Pm1 Pm 0.0000 0.5000 0.2361 1
Pm2 Pm 0.5000 0.0000 0.7639 1
Mg1 Mg 0.0000 0.0000 0.5000 1
Ge1 Ge 0.0000 0.0000 0.0000 1
Ge2 Ge 0.0000 0.5000 0.6448 1
Ge3 Ge 0.5000 0.0000 0.3552 1
Ge4 Ge 0.5000 0.5000 0.0000 1
Ir1 Ir 0.0000 0.5000 0.8785 1
Ir2 Ir 0.5000 0.0000 0.1215 1
Ir3 Ir 0.5000 0.5000 0.5000 1
# **ΔH_f (0 K)**: -0.70 eV per atom

=====

Entry 3:
# PmMg2GeIr2 | Alexandria via LeMat-Bulk | GGA-PBE | relaxed
data_PmMg2GeIr2
_chemical_formula_sum 'Pm1 Mg2 Ge1 Ir2'
_space_group_name_H-M_alt 'P 1'
_space_group_IT_number 1
_cell_length_a 4.6870
_cell_length_b 4.6870
_cell_length_c 5.9492
_cell_angle_alpha 90.00
_cell_angle_beta 90.00
_cell_angle_gamma 90.00
loop_
_space_group_symop_operation_xyz
'x,y,z'
loop_
_atom_site_label
_atom_site_type_symbol
_atom_site_fract_x
_atom_site_fract_y
_atom_site_fract_z
_atom_site_occupancy
Pm1 Pm 0.0000 0.0000 0.0000 1
Mg1 Mg 0.5000 0.5000 0.2503 1
Mg2 Mg 0.5000 0.5000 0.7497 1
Ge1 Ge 0.0000 0.0000 0.5000 1
Ir1 Ir 0.0000 0.5000 0.5000 1
Ir2 Ir 0.5000 0.0000 0.5000 1
# **ΔH_f (0 K)**: -0.16 eV per atom

=====

Number 1: density of states at the Fermi level 6.03 states/eV per cell, DFT total energy -67.68 eV for the cell shown. Number 2: density of states at the Fermi level 4.49 states/eV per cell, DFT total energy -63.13 eV for the cell shown. Number 3: density of states at the Fermi level 5.76 states/eV per cell, DFT total energy -31.24 eV for the cell shown.